Below is crystalline InCuTe at its relaxed geometry, with properties calculated at the PBE-GGA level.

The energy above the lowest structure with this stoichiometry is 0.223 eV per atom. The uncorrected formation energy comes out at 161 meV/atom. As for the magnetic moment: 0.00 μB/atom.

The structure belongs to space group Fmm2 (No. 42); the cell edges are 4.2103, 5.3556 and 12.5854 Å and the angles 90.00°, 90.00° and 90.00°. The asymmetric unit holds In at (0.0000, 0.0000, 0.0000), Cu at (0.0000, 0.0000, 0.6432) and Te at (0.0000, 0.0000, 0.2724).